1.
DFT (PBE) results for an optimized crystal structure of V5FeCo2Rh2.

Lattice parameters (Å, degrees): 2.865 9.548 9.548 90.00 90.00 90.00
Each line ends with the local moment (μB).
Sites, in units of the cell vectors:
V  0.500  0.313  0.576  -0.04
V  0.500  0.076  0.813  -0.04
Co  0.000  0.131  0.631  0.01
V  0.500  0.500  0.000  0.01
V  0.500  0.187  0.076  -0.04
Co  0.000  0.869  0.369  0.01
Co  0.000  0.369  0.131  0.01
Fe  0.000  0.000  0.000  0.35
V  0.500  0.924  0.187  -0.04
V  0.500  0.813  0.924  -0.04
Rh  0.000  0.330  0.830  0.01
Co  0.000  0.631  0.869  0.01
V  0.500  0.576  0.687  -0.04
Rh  0.000  0.830  0.670  0.01
Rh  0.000  0.170  0.330  0.01
V  0.500  0.424  0.313  -0.04
V  0.500  0.687  0.424  -0.04
V  0.500  0.000  0.500  0.01
Rh  0.000  0.670  0.170  0.01
Fe  0.000  0.500  0.500  0.35

Results
Space-group type = P4/mbm (127)
Raw total energy = -166.082 eV per cell

2.
DFT (PBE) results for an optimized crystal structure of V5Fe2CoRh2.

Lattice parameters (Å, degrees): 2.838 9.599 9.599 90.00 90.00 90.00
Sites, in units of the cell vectors:
V  0.500  0.920  0.190
Fe  0.000  0.868  0.368
V  0.500  0.000  0.500
V  0.500  0.690  0.420
V  0.500  0.500  0.000
Rh  0.000  0.169  0.331
V  0.500  0.810  0.920
Rh  0.000  0.669  0.169
Co  0.000  0.000  0.000
V  0.500  0.190  0.080
Rh  0.000  0.831  0.669
Rh  0.000  0.331  0.831
V  0.500  0.080  0.810
Fe  0.000  0.132  0.632
V  0.500  0.310  0.580
V  0.500  0.420  0.310
Fe  0.000  0.632  0.868
V  0.500  0.580  0.690
Fe  0.000  0.368  0.132
Co  0.000  0.500  0.500

Results
Space-group type = P4/mbm (127)
Raw total energy = -168.641 eV per cell

3.
DFT (PBE) results for an optimized crystal structure of ZnFeCoRh.

Lattice parameters (Å, degrees): 4.160 4.160 4.160 60.00 60.00 60.00
Each line ends with the local moment (μB).
Sites, in units of the cell vectors:
Co  0.750  0.750  0.750  1.43
Fe  0.500  0.500  0.500  2.93
Zn  0.000  0.000  0.000  -0.05
Rh  0.250  0.250  0.250  0.47

Results
Space-group type = F-43m (216)
Raw total energy = -24.759 eV per cell

4.
DFT (PBE) results for an optimized crystal structure of FeCo2Ru.

Lattice parameters (Å, degrees): 8.385 8.385 8.385 17.78 17.78 17.78
Each line ends with the local moment (μB).
Sites, in units of the cell vectors:
Ru  0.750  0.750  0.750  0.06
Co  0.503  0.503  0.503  1.39
Fe  0.250  0.250  0.250  2.52
Co  0.997  0.997  0.997  1.39

Results
Space-group type = R-3m (166)
Raw total energy = -31.339 eV per cell
Energy above the most stable polymorph in this dataset = 0.041 eV/atom

Number 1: D(E_F) 1.0374 states/eV/atom, energy relative to the elements -0.007 eV per atom. Number 2: D(E_F) 1.0310 states/eV/atom, energy relative to the elements 0.001 eV per atom. Number 3: D(E_F) 0.7496 states/eV/atom, energy relative to the elements -0.141 eV per atom. Number 4: D(E_F) 1.2353 states/eV/atom, energy relative to the elements 0.153 eV per atom.